Crystalline Ga2BiMoO at its relaxed geometry. Source: the Alexandria database, functional GGA+U.

```
Ga2BiMoO
1.0
-4.041 -1.321 3.314
2.531 -0.853 2.746
-0.209 5.086 1.772
O Mo Bi Ga
1 1 1 2
direct
0.000 0.500 0.000 O
0.000 0.000 0.000 Mo
0.500 0.500 0.500 Bi
0.000 0.000 0.500 Ga
0.500 0.000 0.000 Ga
```

## Properties
- E (eV/atom) = -4.423